A plane-wave DFT calculation with PBE-GGA was carried out for a relaxed structure of HoTlAu.

Formation energy in eV/atom: -0.36
Space-group type: C2/m
M_tot in μB per formula unit: 0.00
DOS at the Fermi energy in states/eV per atom: 0.650

Cell and atoms, written as extended XYZ:
```
6
Lattice="4.290 0.000 0.000 -2.145 6.136 0.347 0.000 -2.859 6.074" Properties=species:S:1:pos:R:3 pbc="T T T"
Ho 2.145 1.570 4.765
Ho 0.000 1.707 1.656
Au 2.145 -0.047 2.374
Au 0.000 3.324 4.048
Tl 2.145 4.218 1.817
Tl 0.000 -0.941 4.604
```